# 1
VASP calculation (GGA-PBE) on crystalline Mn2ZnHg at its relaxed geometry.

Calculated values
Formation energy (kcal/mol of atoms): 7.09
V (Å³/cell): 66.4
Energy above the lowest structure with this stoichiometry (meV/atom): 116
SG: C2/m, No. 12
M_tot (μB/atom): 1.78

Cell lengths 4.716, 4.716, 5.120 Å; angles 79.57, 79.57, 36.43 degrees
Last column: magnetic moment on the atom in μB.
Sites, in units of the cell vectors:
Zn 0.750 0.750 0.750  -0.07
Mn 0.005 0.005 0.977  3.51
Mn 0.495 0.495 0.523  3.51
Hg 0.250 0.250 0.250  -0.04

=====

# 2
VASP calculation (GGA-PBE) on crystalline MgSb2N at its relaxed geometry.

Calculated values
V (Å³/cell): 81.5
ΔE_f (raw) (meV/atom): 1011
Energy above the lowest structure with this stoichiometry (meV/atom): 572
SG: Fm-3m, No. 225
M_tot (μB/atom): 0.37

Cell lengths 4.866, 4.866, 4.866 Å; angles 60.00, 60.00, 60.00 degrees
Last column: magnetic moment on the atom in μB.
Sites, in units of the cell vectors:
Sb 0.750 0.750 0.750  -0.01
Sb 0.250 0.250 0.250  -0.01
N 0.000 0.000 0.000  0.97
Mg 0.500 0.500 0.500  0.03

=====

| no. | N(E_F) (states/eV per cell) |
| --- | --- |
| 1 | 2.36 |
| 2 | 2.44 |